A plane-wave DFT calculation with PBE with a Hubbard U was carried out for a relaxed Bi4W6O19 crystal.

Lattice parameters (Å, degrees): 8.040 8.040 8.040 109.47 109.47 109.47
Last column: magnetic moment on the atom in μB.
Atoms (fractional coordinates):
Bi (0.000, 0.000, 0.705)  0.03
Bi (0.000, 0.705, 0.000)  0.03
Bi (0.295, 0.295, 0.295)  0.03
Bi (0.705, 0.000, 0.000)  0.03
W (0.360, 0.500, 0.860)  0.58
W (0.640, 0.500, 0.140)  0.58
W (0.140, 0.640, 0.500)  0.58
W (0.860, 0.360, 0.500)  0.58
W (0.500, 0.860, 0.360)  0.58
W (0.500, 0.140, 0.640)  0.58
O (0.678, 0.000, 0.678)  0.02
O (0.322, 0.000, 0.322)  0.02
O (0.322, 0.322, 0.000)  0.02
O (0.678, 0.678, 0.000)  0.02
O (0.000, 0.678, 0.678)  0.02
O (0.000, 0.322, 0.322)  0.02
O (0.000, 0.000, 0.000)  0.00
O (0.365, 0.313, 0.626)  -0.01
O (0.635, 0.260, 0.948)  -0.01
O (0.688, 0.740, 0.374)  -0.01
O (0.948, 0.635, 0.260)  -0.01
O (0.312, 0.687, 0.052)  -0.01
O (0.626, 0.365, 0.313)  -0.01
O (0.052, 0.312, 0.687)  -0.01
O (0.374, 0.688, 0.740)  -0.01
O (0.687, 0.052, 0.312)  -0.01
O (0.260, 0.948, 0.635)  -0.01
O (0.313, 0.626, 0.365)  -0.01
O (0.740, 0.374, 0.688)  -0.01

Output
- size of the total moment (μB per formula unit) = 4.00
- VASP energy (eV per cell) = -198.30
- space group = I23